No. 1
Below is a geometry-optimized Ti2Ga4Ni structure, with properties calculated at the PBE level.

Computed properties:
Volume   131.14 Å³/cell
Offset from the most stable computed form   0.2881 eV/atom
Fermi-level density of states   0.92 states/eV/atom
Energy of formation from the pure elements   0.083 eV per atom
E   -4.728 eV/atom

Unit cell a=4.512 b=4.512 c=7.189 alpha=71.71 beta=71.71 gamma=90.00
Fractional coordinates of all 7 atoms:
Ti (0.612, 0.612, 0.776)
Ti (0.388, 0.388, 0.224)
Ni (0.000, 0.000, 0.000)
Ga (0.500, 0.000, 0.000)
Ga (0.000, 0.500, 0.000)
Ga (0.186, 0.186, 0.629)
Ga (0.814, 0.814, 0.371)

=====

No. 2
Below is a geometry-optimized Ti2Ga3Ni7 structure, with properties calculated at the PBE level.

Computed properties:
Volume   162.88 Å³/cell
Fermi-level density of states   1.01 states/eV/atom
Energy of formation from the pure elements   -0.255 eV per atom
E   -5.700 eV/atom

Unit cell a=4.061 b=4.183 c=9.813 alpha=102.26 beta=90.00 gamma=90.00
Fractional coordinates of all 12 atoms:
Ga (0.500, 0.500, 0.000)
Ni (0.500, 0.217, 0.434)
Ga (0.000, 0.853, 0.706)
Ti (0.500, 0.346, 0.692)
Ni (0.000, 0.000, 0.000)
Ni (0.000, 0.573, 0.146)
Ni (0.500, 0.783, 0.566)
Ti (0.500, 0.654, 0.308)
Ni (0.500, 0.927, 0.854)
Ni (0.500, 0.073, 0.146)
Ni (0.000, 0.427, 0.854)
Ga (0.000, 0.147, 0.294)

=====

No. 3
Below is a geometry-optimized TiGa3Ni structure, with properties calculated at the PBE level.

Computed properties:
Volume   157.80 Å³/cell
Offset from the most stable computed form   0.0000 eV/atom
Fermi-level density of states   0.71 states/eV/atom
Energy of formation from the pure elements   -0.268 eV per atom
E   -4.819 eV/atom

Unit cell a=3.923 b=6.277 c=6.408 alpha=90.00 beta=90.00 gamma=90.00
Fractional coordinates of all 10 atoms:
Ga (0.250, 0.250, 0.978)
Ti (0.250, 0.750, 0.694)
Ga (0.750, 0.750, 0.022)
Ni (0.250, 0.250, 0.604)
Ga (0.250, 0.964, 0.305)
Ga (0.750, 0.464, 0.695)
Ti (0.750, 0.250, 0.306)
Ni (0.750, 0.750, 0.396)
Ga (0.250, 0.536, 0.305)
Ga (0.750, 0.036, 0.695)

=====

No. 4
Below is a geometry-optimized TiGaNi3 structure, with properties calculated at the PBE level.

Computed properties:
Volume   78.11 Å³/cell
Offset from the most stable computed form   0.5718 eV/atom
Fermi-level density of states   2.06 states/eV/atom
Energy of formation from the pure elements   0.532 eV per atom
E   -5.122 eV/atom

Unit cell a=4.275 b=4.275 c=4.275 alpha=90.00 beta=90.00 gamma=90.00
Fractional coordinates of all 5 atoms:
Ni (0.000, 0.500, 0.000)
Ga (0.000, 0.000, 0.000)
Ni (0.000, 0.000, 0.500)
Ni (0.500, 0.000, 0.000)
Ti (0.500, 0.500, 0.500)

=====

No. 5
Below is a geometry-optimized Ti4GaNi structure, with properties calculated at the PBE level.

Computed properties:
Volume   189.86 Å³/cell
Fermi-level density of states   1.15 states/eV/atom
Energy of formation from the pure elements   -0.191 eV per atom
E   -6.922 eV/atom

Unit cell a=5.006 b=6.821 c=6.664 alpha=117.38 beta=108.90 gamma=87.09
Fractional coordinates of all 12 atoms:
Ti (0.433, 0.174, 0.183)
Ti (0.270, 0.617, 0.318)
Ti (0.010, 0.920, 0.657)
Ti (0.695, 0.670, 0.167)
Ti (0.305, 0.330, 0.833)
Ga (0.856, 0.251, 0.027)
Ni (0.500, 0.000, 0.500)
Ti (0.567, 0.826, 0.817)
Ti (0.730, 0.383, 0.682)
Ga (0.144, 0.749, 0.973)
Ni (0.000, 0.500, 0.500)
Ti (0.990, 0.080, 0.343)

=====

No. 6
Below is a geometry-optimized Ti2Ga3Ni4 structure, with properties calculated at the PBE level.

Computed properties:
Volume   245.76 Å³/cell
Offset from the most stable computed form   0.0656 eV/atom
Fermi-level density of states   0.90 states/eV/atom
Energy of formation from the pure elements   -0.386 eV per atom
E   -5.719 eV/atom

Unit cell a=5.050 b=6.850 c=7.540 alpha=90.00 beta=109.56 gamma=90.00
Fractional coordinates of all 18 atoms:
Ti (0.404, 0.097, 0.809)
Ga (0.008, 0.750, 0.517)
Ga (0.000, 0.000, 0.000)
Ni (0.819, 0.250, 0.138)
Ni (0.832, 0.014, 0.663)
Ga (0.992, 0.250, 0.483)
Ti (0.596, 0.903, 0.191)
Ga (0.500, 0.500, 0.000)
Ni (0.332, 0.486, 0.663)
Ti (0.096, 0.597, 0.191)
Ni (0.668, 0.514, 0.337)
Ga (0.508, 0.750, 0.517)
Ni (0.681, 0.750, 0.862)
Ni (0.168, 0.986, 0.337)
Ga (0.492, 0.250, 0.483)
Ti (0.904, 0.403, 0.809)
Ni (0.319, 0.250, 0.138)
Ni (0.181, 0.750, 0.862)

=====

No. 7
Below is a geometry-optimized Ti7Ga2Ni2 structure, with properties calculated at the PBE level.

Computed properties:
Volume   190.09 Å³/cell
Fermi-level density of states   1.41 states/eV/atom
Energy of formation from the pure elements   0.031 eV per atom
E   -6.594 eV/atom

Unit cell a=5.812 b=5.887 c=5.812 alpha=90.01 beta=107.09 gamma=89.99
Fractional coordinates of all 11 atoms:
Ni (0.285, 0.000, 0.715)
Ti (0.500, 0.736, 0.000)
Ti (0.500, 0.746, 0.500)
Ti (0.000, 0.736, 0.500)
Ti (0.500, 0.254, 0.500)
Ti (0.500, 0.264, 0.000)
Ti (0.000, 0.000, 0.000)
Ga (0.824, 0.500, 0.824)
Ga (0.176, 0.500, 0.176)
Ti (0.000, 0.264, 0.500)
Ni (0.715, 0.000, 0.285)

=====

No. 8
Below is a geometry-optimized Ti7GaNi5 structure, with properties calculated at the PBE level.

Computed properties:
Volume   188.15 Å³/cell
Fermi-level density of states   1.46 states/eV/atom
Energy of formation from the pure elements   -0.289 eV per atom
E   -6.997 eV/atom

Unit cell a=4.922 b=6.658 c=6.658 alpha=79.48 beta=68.31 gamma=68.31
Fractional coordinates of all 13 atoms:
Ni (0.797, 0.703, 0.703)
Ni (0.028, 0.978, 0.463)
Ga (0.914, 0.086, 0.086)
Ti (0.014, 0.666, 0.307)
Ti (0.546, 0.111, 0.797)
Ti (0.266, 0.234, 0.234)
Ti (0.546, 0.797, 0.111)
Ti (0.568, 0.432, 0.432)
Ti (0.014, 0.307, 0.666)
Ti (0.218, 0.782, 0.782)
Ni (0.028, 0.463, 0.978)
Ni (0.531, 0.978, 0.463)
Ni (0.531, 0.463, 0.978)

=====

No. 9
Below is a geometry-optimized Tm2TiGa3Ni4 structure, with properties calculated at the PBE level.

Computed properties:
Volume   162.07 Å³/cell
Fermi-level density of states   0.87 states/eV/atom
Energy of formation from the pure elements   -0.535 eV per atom
E   -5.440 eV/atom

Unit cell a=3.888 b=3.888 c=10.723 alpha=90.00 beta=90.00 gamma=90.00
Fractional coordinates of all 10 atoms:
Ti (0.500, 0.500, 0.500)
Tm (0.500, 0.000, 0.247)
Ni (0.500, 0.500, 0.000)
Ni (0.000, 0.500, 0.354)
Ga (0.500, 0.000, 0.869)
Ga (0.000, 0.500, 0.131)
Ga (0.000, 0.000, 0.500)
Tm (0.000, 0.500, 0.753)
Ni (0.500, 0.000, 0.646)
Ni (0.000, 0.000, 0.000)

=====

No. 10
Below is a geometry-optimized TiVGaNi structure, with properties calculated at the PBE level.

Computed properties:
Volume   56.34 Å³/cell
Fermi-level density of states   1.01 states/eV/atom
Energy of formation from the pure elements   -0.201 eV per atom
E   -6.657 eV/atom

Unit cell a=4.303 b=4.303 c=4.303 alpha=60.00 beta=60.00 gamma=60.00
Fractional coordinates of all 4 atoms:
Ga (0.000, 0.000, 0.000)
Ti (0.500, 0.500, 0.500)
V (0.250, 0.250, 0.250)
Ni (0.750, 0.750, 0.750)

=====

No. 11
Below is a geometry-optimized TiGaNiW2 structure, with properties calculated at the PBE level.

Computed properties:
Volume   94.71 Å³/cell
Fermi-level density of states   1.33 states/eV/atom
Energy of formation from the pure elements   1.647 eV per atom
E   -6.875 eV/atom

Unit cell a=4.576 b=4.523 c=4.576 alpha=90.00 beta=90.00 gamma=90.00
Fractional coordinates of all 5 atoms:
Ni (0.500, 0.500, 0.500)
W (0.000, 0.000, 0.500)
Ga (0.000, 0.000, 0.000)
Ti (0.000, 0.500, 0.000)
W (0.500, 0.000, 0.000)

=====

No. 12
Below is a geometry-optimized TiGa2NiW structure, with properties calculated at the PBE level.

Computed properties:
Volume   109.22 Å³/cell
Fermi-level density of states   0.56 states/eV/atom
Energy of formation from the pure elements   1.028 eV per atom
E   -5.509 eV/atom

Unit cell a=4.878 b=4.590 c=4.878 alpha=90.00 beta=90.00 gamma=90.00
Fractional coordinates of all 5 atoms:
Ni (0.500, 0.500, 0.500)
Ga (0.500, 0.000, 0.000)
Ga (0.000, 0.000, 0.500)
W (0.000, 0.000, 0.000)
Ti (0.000, 0.500, 0.000)

=====

No. 13
Below is a geometry-optimized YTi2GaNi structure, with properties calculated at the PBE level.

Computed properties:
Volume   107.14 Å³/cell
Fermi-level density of states   1.38 states/eV/atom
Energy of formation from the pure elements   0.147 eV per atom
E   -6.066 eV/atom

Unit cell a=4.559 b=5.156 c=4.559 alpha=90.00 beta=90.00 gamma=90.00
Fractional coordinates of all 5 atoms:
Ti (0.000, 0.000, 0.500)
Ni (0.000, 0.000, 0.000)
Ga (0.500, 0.500, 0.500)
Ti (0.500, 0.000, 0.000)
Y (0.000, 0.500, 0.000)

=====

No. 14
Below is a geometry-optimized YTiGa5Ni2 structure, with properties calculated at the PBE level.

Computed properties:
Volume   153.16 Å³/cell
Fermi-level density of states   0.55 states/eV/atom
Energy of formation from the pure elements   -0.260 eV per atom
E   -4.822 eV/atom

Unit cell a=4.605 b=4.605 c=7.222 alpha=90.00 beta=90.00 gamma=90.00
Fractional coordinates of all 9 atoms:
Ni (0.500, 0.500, 0.165)
Ga (0.000, 0.500, 0.788)
Ti (0.000, 0.000, 0.000)
Ga (0.500, 0.000, 0.212)
Ga (0.500, 0.500, 0.500)
Ga (0.500, 0.000, 0.788)
Ni (0.500, 0.500, 0.835)
Y (0.000, 0.000, 0.500)
Ga (0.000, 0.500, 0.212)

=====

No. 15
Below is a geometry-optimized TiZnGaNi structure, with properties calculated at the PBE level.

Computed properties:
Volume   55.26 Å³/cell
Fermi-level density of states   0.52 states/eV/atom
Energy of formation from the pure elements   -0.321 eV per atom
E   -4.815 eV/atom

Unit cell a=4.275 b=4.275 c=4.275 alpha=60.00 beta=60.00 gamma=60.00
Fractional coordinates of all 4 atoms:
Ti (0.250, 0.250, 0.250)
Ni (0.500, 0.500, 0.500)
Zn (0.000, 0.000, 0.000)
Ga (0.750, 0.750, 0.750)

=====

No. 16
Below is a geometry-optimized TlGaNi2 structure, with properties calculated at the PBE level.

Computed properties:
Volume   59.38 Å³/cell
Fermi-level density of states   0.54 states/eV/atom
Energy of formation from the pure elements   0.090 eV per atom
E   -4.149 eV/atom

Unit cell a=4.379 b=4.379 c=4.379 alpha=60.00 beta=60.00 gamma=60.00
Fractional coordinates of all 4 atoms:
Ni (0.250, 0.250, 0.250)
Tl (0.500, 0.500, 0.500)
Ga (0.000, 0.000, 0.000)
Ni (0.750, 0.750, 0.750)

=====

No. 17
Below is a geometry-optimized TlGaNi2 structure, with properties calculated at the PBE level.

Computed properties:
Volume   150.17 Å³/cell
Fermi-level density of states   1.22 states/eV/atom
Energy of formation from the pure elements   0.312 eV per atom
E   -3.927 eV/atom

Unit cell a=4.275 b=4.275 c=8.755 alpha=75.87 beta=75.87 gamma=90.00
Fractional coordinates of all 8 atoms:
Ni (0.375, 0.502, 0.750)
Ga (0.250, 0.750, 0.500)
Tl (0.750, 0.250, 0.500)
Ni (0.498, 0.125, 0.250)
Tl (0.000, 0.000, 0.000)
Ni (0.875, 0.748, 0.750)
Ni (0.252, 0.625, 0.250)
Ga (0.500, 0.500, 0.000)

=====

No. 18
Below is a geometry-optimized Tl2Ga2Ni structure, with properties calculated at the PBE level.

Computed properties:
Volume   231.70 Å³/cell
Fermi-level density of states   0.43 states/eV/atom
Energy of formation from the pure elements   0.105 eV per atom
E   -3.209 eV/atom

Unit cell a=6.391 b=6.391 c=5.673 alpha=90.00 beta=90.00 gamma=90.00
Fractional coordinates of all 10 atoms:
Ga (0.176, 0.324, 0.000)
Ni (0.500, 0.500, 0.000)
Ga (0.824, 0.676, 0.000)
Ni (0.000, 0.000, 0.000)
Tl (0.189, 0.689, 0.500)
Ga (0.676, 0.176, 0.000)
Tl (0.811, 0.311, 0.500)
Ga (0.324, 0.824, 0.000)
Tl (0.689, 0.811, 0.500)
Tl (0.311, 0.189, 0.500)

=====

No. 19
Below is a geometry-optimized TlGa3Ni structure, with properties calculated at the PBE level.

Computed properties:
Volume   149.56 Å³/cell
Offset from the most stable computed form   1.2038 eV/atom
Fermi-level density of states   1.12 states/eV/atom
Energy of formation from the pure elements   1.137 eV per atom
E   -2.309 eV/atom

Unit cell a=5.308 b=5.308 c=5.308 alpha=90.00 beta=90.00 gamma=90.00
Fractional coordinates of all 5 atoms:
Ga (0.000, 0.500, 0.000)
Ga (0.500, 0.000, 0.000)
Ga (0.000, 0.000, 0.500)
Tl (0.000, 0.000, 0.000)
Ni (0.500, 0.500, 0.500)

=====

No. 20
Below is a geometry-optimized TlGa3Ni structure, with properties calculated at the PBE level.

Computed properties:
Volume   103.14 Å³/cell
Offset from the most stable computed form   0.0000 eV/atom
Fermi-level density of states   0.68 states/eV/atom
Energy of formation from the pure elements   -0.067 eV per atom
E   -3.513 eV/atom

Unit cell a=4.690 b=4.690 c=4.690 alpha=90.00 beta=90.00 gamma=90.00
Fractional coordinates of all 5 atoms:
Ni (0.000, 0.000, 0.000)
Ga (0.000, 0.500, 0.000)
Ga (0.500, 0.000, 0.000)
Ga (0.000, 0.000, 0.500)
Tl (0.500, 0.500, 0.500)

=====

| no. | magnetization (μB/cell) |
| --- | --- |
| 1 | 1.04 |
| 2 | 0.00 |
| 3 | 0.00 |
| 4 | 0.02 |
| 5 | 0.00 |
| 6 | 0.00 |
| 7 | 0.85 |
| 8 | 1.23 |
| 9 | 0.00 |
| 10 | 3.60 |
| 11 | 0.00 |
| 12 | 0.00 |
| 13 | 0.00 |
| 14 | 0.31 |
| 15 | 0.00 |
| 16 | 0.00 |
| 17 | 0.00 |
| 18 | 0.00 |
| 19 | 0.00 |
| 20 | 0.00 |